(1)
Computed, not measured: a geometry-optimized Ba3Na3Au2 structure at the PBE level of DFT.

```
Ba3Na3Au2
1.0
4.593 0.000 0.000
0.000 7.554 -4.361
0.000 0.000 8.723
Ba Na Au
3 3 2
Cartesian
2.297 3.221 1.860
2.297 4.332 -2.501
2.297 0.000 5.003
0.000 5.802 3.350
0.000 1.752 -1.012
0.000 0.000 2.023
0.000 2.518 4.361
0.000 5.036 0.000
```

Properties
The space-group type is No. 189. The value obtained for the formation energy is -380 meV per atom. Its density of states at the Fermi level is 0.554 states/eV/atom. Its spin magnetization is 0.00 μB/f.u.


(2)
Computed, not measured: a geometry-optimized Ba3Na7Au4 structure at the PBE level of DFT.

```
Ba3Na7Au4
1.0
4.576 0.000 1.155
1.680 9.083 2.988
-0.227 -0.286 10.547
Ba Na Au
3 7 4
Cartesian
1.624 1.562 3.212
4.406 7.234 11.477
0.727 4.398 6.767
2.789 7.573 8.240
2.443 1.936 9.610
4.284 3.486 11.961
3.241 1.223 6.449
1.746 5.310 2.728
0.000 0.000 0.000
3.586 6.861 5.079
3.662 3.801 4.780
2.368 4.995 9.909
5.518 8.183 7.072
0.512 0.613 7.617
```

Properties
The space-group type is No. 12. The value obtained for the formation energy is -355 meV per atom. Its density of states at the Fermi level is 0.526 states/eV/atom. Its spin magnetization is 0.00 μB/f.u.


(3)
Computed, not measured: a geometry-optimized Ba4Na3Au structure at the PBE level of DFT.

```
Ba4Na3Au
1.0
-0.486 -3.764 1.797
-0.548 -1.736 -3.784
20.364 -3.313 -1.431
Na Au Ba
3 1 4
Cartesian
4.156 -3.510 -1.322
9.665 -4.406 -1.709
15.173 -5.302 -2.096
-0.517 -2.750 -0.994
18.520 -3.013 -1.302
1.844 -0.300 -0.130
7.425 -1.208 -0.522
12.939 -2.105 -0.909
```

Properties
The space-group type is No. 123. The value obtained for the formation energy is -172 meV per atom. Its density of states at the Fermi level is 0.888 states/eV/atom. Its spin magnetization is 0.00 μB/f.u.


(4)
Computed, not measured: a geometry-optimized BaNa2AuO structure at the PBE level of DFT.

```
BaNa2AuO
1.0
4.815 0.000 0.000
0.000 4.815 0.000
0.000 0.000 5.307
Na Au Ba O
2 1 1 1
Cartesian
0.000 2.408 0.000
2.408 0.000 0.000
2.408 2.408 2.654
0.000 0.000 2.654
0.000 0.000 0.000
```

Properties
The space-group type is No. 123. Its density of states at the Fermi level is 0.372 states/eV/atom. Its spin magnetization is 0.00 μB/f.u. For the total energy, the calculation gives -3.59 eV per atom.


(5)
Computed, not measured: a geometry-optimized Ba2NaAuO structure at the PBE level of DFT.

```
Ba2NaAuO
1.0
5.475 0.000 0.000
0.000 5.475 0.000
0.000 0.000 4.686
Na Au Ba O
1 1 2 1
Cartesian
0.000 0.000 2.343
2.738 2.738 2.343
0.000 2.738 0.000
2.738 0.000 0.000
0.000 0.000 0.000
```

Properties
The space-group type is No. 123. Its density of states at the Fermi level is 0.444 states/eV/atom. Its spin magnetization is 0.00 μB/f.u. For the total energy, the calculation gives -3.84 eV per atom.


(6)
Computed, not measured: a geometry-optimized BaNaAuO3 structure at the PBE level of DFT.

```
BaNaAuO3
1.0
-0.588 2.679 2.198
-1.400 -5.529 3.553
10.185 -0.464 3.291
Ba Na Au O
2 2 2 6
Cartesian
6.328 -1.523 6.360
1.869 -1.791 2.683
5.093 -0.232 1.646
0.000 0.000 0.000
7.231 0.710 3.881
0.966 -4.024 5.162
3.291 0.403 3.200
4.906 -3.717 5.843
7.598 -3.840 6.712
0.599 0.525 2.330
7.184 -1.473 3.717
1.013 -1.842 5.325
```

Properties
The space-group type is No. 63. Its density of states at the Fermi level is 0.579 states/eV/atom. Its spin magnetization is 1.01 μB/f.u. For the total energy, the calculation gives -4.56 eV per atom.


(7)
Computed, not measured: a geometry-optimized Ba6Na3PAu2 structure at the PBE level of DFT.

```
Ba6Na3PAu2
1.0
-2.181 0.717 7.884
-2.803 -6.323 -4.425
9.470 -3.583 1.571
Ba Na P Au
6 3 1 2
Cartesian
3.987 -6.213 5.966
-1.948 -4.820 2.855
0.499 -2.977 -0.936
3.788 -8.461 2.035
6.434 -4.370 2.174
0.698 -0.728 2.995
2.046 -6.821 -1.377
2.440 -2.368 6.407
2.243 -4.595 2.515
0.000 0.000 0.000
-2.594 -3.963 -0.298
-2.389 -1.643 3.757
```

Properties
The space-group type is No. 12. The value obtained for the formation energy is -405 meV per atom. Its density of states at the Fermi level is 0.978 states/eV/atom. Its spin magnetization is 0.00 μB/f.u.


(8)
Computed, not measured: a geometry-optimized Ba6Na2PdAu structure at the PBE level of DFT.

```
Ba6Na2PdAu
1.0
9.090 -0.001 0.000
0.001 9.090 0.000
4.545 4.545 6.428
Ba Na Pd Au
6 2 1 1
Cartesian
2.237 6.853 0.000
11.399 11.398 6.428
4.545 4.545 3.264
6.853 2.237 0.000
2.237 2.237 0.000
9.091 9.090 3.164
4.546 9.090 3.214
9.090 4.545 3.214
0.000 0.000 0.000
4.545 4.545 0.000
```

Properties
The space-group type is No. 225. The value obtained for the formation energy is -280 meV per atom. Its density of states at the Fermi level is 0.702 states/eV/atom. Its spin magnetization is 0.00 μB/f.u.


(9)
Computed, not measured: a geometry-optimized Ba8NaPdAu2 structure at the PBE level of DFT.

```
Ba8NaPdAu2
1.0
-6.326 -4.763 -1.648
4.463 -6.355 0.607
-2.086 -0.582 9.605
Ba Na Pd Au
8 1 1 2
Cartesian
1.809 -5.687 2.301
-3.022 -8.563 8.940
-4.591 -5.674 0.904
-5.759 -6.013 6.263
-0.927 -3.136 -0.376
0.641 -6.026 7.660
-1.812 -7.934 4.189
-2.137 -3.765 4.375
-1.043 -0.291 4.803
0.000 0.000 0.000
-2.518 -6.003 6.775
-1.432 -5.696 1.789
```

Properties
The space-group type is No. 2. The value obtained for the formation energy is -313 meV per atom. Its density of states at the Fermi level is 0.976 states/eV/atom. Its spin magnetization is 0.00 μB/f.u.


(10)
Computed, not measured: a geometry-optimized BaNa2PdAu2 structure at the PBE level of DFT.

```
BaNa2PdAu2
1.0
5.495 0.000 0.000
0.000 5.495 0.000
-2.747 -2.747 6.092
Ba Na Pd Au
1 2 1 2
Cartesian
2.747 2.747 0.000
0.000 2.747 3.046
2.747 0.000 3.046
0.000 0.000 0.000
2.747 2.747 3.457
0.000 0.000 2.635
```

Properties
The space-group type is No. 139. The value obtained for the formation energy is -135 meV per atom. Its density of states at the Fermi level is 0.456 states/eV/atom. Its spin magnetization is 0.00 μB/f.u.


(11)
Computed, not measured: a geometry-optimized Ba8Na3PtAu3 structure at the PBE level of DFT.

```
Ba8Na3PtAu3
1.0
9.526 0.000 0.000
-4.763 8.248 -0.036
0.000 -5.461 9.708
Ba Na Pt Au
8 3 1 3
Cartesian
0.000 2.758 3.070
4.763 0.029 6.601
4.763 2.865 3.077
0.000 -0.078 6.594
7.241 -1.419 3.101
-2.478 4.206 6.571
2.284 -1.419 3.101
2.478 4.206 6.571
0.000 0.000 0.000
-2.381 4.124 -0.018
2.381 4.124 -0.018
0.000 -2.730 4.854
4.763 -2.730 4.854
2.381 1.394 4.836
-2.381 1.394 4.836
```

Properties
The space-group type is No. 12. The value obtained for the formation energy is -406 meV per atom. Its density of states at the Fermi level is 0.585 states/eV/atom. Its spin magnetization is 0.00 μB/f.u.


(12)
Computed, not measured: a geometry-optimized Ba7NaPt2Au2 structure at the PBE level of DFT.

```
Ba7NaPt2Au2
1.0
-0.392 -1.160 6.362
-3.831 -5.093 -1.164
12.718 -4.683 -3.369
Ba Na Pt Au
7 1 2 2
Cartesian
6.096 -8.445 -1.164
2.913 -6.818 2.236
0.677 -4.458 -0.771
2.399 -2.491 2.993
5.590 -4.108 -0.404
7.815 -6.481 2.599
10.604 -7.812 -0.771
12.318 -5.853 2.991
8.129 -5.984 -0.590
0.367 -4.950 2.419
3.391 -6.445 -0.966
5.112 -4.480 2.797
```

Properties
The space-group type is No. 44. The value obtained for the formation energy is -540 meV per atom. Its density of states at the Fermi level is 0.769 states/eV/atom. Its spin magnetization is 0.00 μB/f.u.